Density functional theory data (PBE-GGA) for CeHo6Sc2 after structural relaxation.

abc: 6.570 8.923 9.320
angles: 98.42 95.83 95.54
Fractional positions:
Ce  0.093  0.348  0.055
Ce  0.907  0.652  0.945
Ho  0.015  0.777  0.609
Ho  0.204  0.447  0.723
Ho  0.236  0.997  0.943
Ho  0.315  0.569  0.390
Ho  0.420  0.681  0.054
Ho  0.463  0.207  0.279
Ho  0.537  0.793  0.721
Ho  0.580  0.319  0.946
Ho  0.685  0.431  0.610
Ho  0.764  0.003  0.057
Ho  0.796  0.553  0.277
Ho  0.985  0.223  0.391
Sc  0.134  0.881  0.283
Sc  0.354  0.097  0.606
Sc  0.646  0.903  0.394
Sc  0.866  0.119  0.717

Computed properties:
The calculation puts the electronic total energy at -0.186 Ha/atom. Its space group is P-1. The size of the total moment comes out at 1.883 Bohr magnetons per cell.

Density functional theory data (PBE-GGA) for Ce2HoSc after structural relaxation.

abc: 5.495 5.495 5.495
angles: 60.00 60.00 60.00
Fractional positions:
Ce  0.250  0.250  0.250
Ce  0.750  0.750  0.750
Ho  0.000  0.000  0.000
Sc  0.500  0.500  0.500

Computed properties:
The calculation puts the electronic total energy at -0.202 Ha/atom. Its space group is Fm-3m. The size of the total moment comes out at 1.336 Bohr magnetons per cell.

Density functional theory data (PBE-GGA) for CeHoSc5 after structural relaxation.

abc: 7.922 7.922 6.420
angles: 102.45 102.45 95.87
Fractional positions:
Ce  0.000  0.500  0.000
Ce  0.500  0.000  0.500
Ho  0.151  0.849  0.750
Ho  0.849  0.151  0.250
Sc  0.112  0.888  0.250
Sc  0.221  0.281  0.640
Sc  0.281  0.221  0.140
Sc  0.338  0.595  0.466
Sc  0.405  0.662  0.034
Sc  0.595  0.338  0.966
Sc  0.662  0.405  0.534
Sc  0.719  0.779  0.860
Sc  0.779  0.719  0.360
Sc  0.888  0.112  0.750

Computed properties:
The calculation puts the electronic total energy at -0.214 Ha/atom. Its space group is C2/c. The size of the total moment comes out at 2.456 Bohr magnetons per cell.

Density functional theory data (PBE-GGA) for CeHoSc3 after structural relaxation.

abc: 10.654 10.654 6.093
angles: 93.02 93.02 50.66
Fractional positions:
Ce  0.157  0.296  0.132
Ce  0.296  0.157  0.632
Ce  0.704  0.843  0.368
Ce  0.843  0.704  0.868
Ho  0.247  0.753  0.750
Ho  0.385  0.615  0.250
Ho  0.615  0.385  0.750
Ho  0.753  0.247  0.250
Sc  0.020  0.131  0.890
Sc  0.089  0.590  0.437
Sc  0.131  0.020  0.390
Sc  0.269  0.460  0.912
Sc  0.410  0.911  0.063
Sc  0.460  0.269  0.412
Sc  0.540  0.731  0.588
Sc  0.590  0.089  0.937
Sc  0.731  0.540  0.088
Sc  0.869  0.980  0.610
Sc  0.911  0.410  0.563
Sc  0.980  0.869  0.110

Computed properties:
The calculation puts the electronic total energy at -0.213 Ha/atom. Its space group is C2/c. The size of the total moment comes out at 2.969 Bohr magnetons per cell.

Density functional theory data (PBE-GGA) for Ce2HoScSe4 after structural relaxation.

abc: 7.012 4.038 7.206
angles: 90.00 108.82 90.00
Fractional positions:
Ce  0.000  0.000  0.000
Ce  0.500  0.500  0.000
Ho  0.000  0.500  0.500
Sc  0.500  0.000  0.500
Se  0.251  0.000  0.732
Se  0.264  0.500  0.272
Se  0.736  0.500  0.728
Se  0.749  0.000  0.268

Computed properties:
Its space group is P2/m. The size of the total moment comes out at 2.076 Bohr magnetons per cell. The value obtained for the formation energy from raw total energies is -13.91 eV per formula unit.

Density functional theory data (PBE-GGA) for Ce3HoSc2Se6 after structural relaxation.

abc: 6.980 6.980 7.171
angles: 99.34 99.34 120.06
Fractional positions:
Ce  0.000  0.000  0.000
Ce  0.337  0.663  0.000
Ce  0.663  0.337  0.000
Ho  0.500  0.500  0.500
Sc  0.167  0.833  0.500
Sc  0.833  0.167  0.500
Se  0.082  0.424  0.271
Se  0.233  0.233  0.725
Se  0.424  0.082  0.271
Se  0.576  0.918  0.729
Se  0.767  0.767  0.275
Se  0.918  0.576  0.729

Computed properties:
Its space group is C2/m. The size of the total moment comes out at 2.991 Bohr magnetons per cell. The value obtained for the formation energy from raw total energies is -20.72 eV per formula unit.

Density functional theory data (PBE-GGA) for Ce2HoScSe6 after structural relaxation.

abc: 7.625 7.625 7.625
angles: 56.91 56.91 56.91
Fractional positions:
Ce  0.000  0.000  0.000
Ce  0.498  0.498  0.498
Ho  0.201  0.201  0.201
Sc  0.699  0.699  0.699
Se  0.066  0.431  0.821
Se  0.329  0.917  0.580
Se  0.431  0.821  0.066
Se  0.580  0.329  0.917
Se  0.821  0.066  0.431
Se  0.917  0.580  0.329

Computed properties:
Its space group is R3. The size of the total moment comes out at 2.015 Bohr magnetons per cell. The value obtained for the formation energy from raw total energies is -17.44 eV per formula unit.

Density functional theory data (PBE-GGA) for Ce2HoScSe5 after structural relaxation.

abc: 5.159 5.159 10.420
angles: 90.00 90.00 90.00
Fractional positions:
Ce  0.000  0.000  0.206
Ce  0.000  0.000  0.794
Ho  0.500  0.500  0.000
Sc  0.500  0.500  0.500
Se  0.000  0.000  0.500
Se  0.000  0.500  0.000
Se  0.500  0.000  0.000
Se  0.500  0.500  0.263
Se  0.500  0.500  0.737

Computed properties:
Its space group is P4/mmm. The size of the total moment comes out at 3.437 Bohr magnetons per cell. The value obtained for the formation energy from raw total energies is -11.37 eV per formula unit.

Density functional theory data (PBE-GGA) for CeSmHoSc after structural relaxation.

abc: 5.546 5.546 5.546
angles: 60.00 60.00 60.00
Fractional positions:
Ce  0.000  0.000  0.000
Sm  0.500  0.500  0.500
Ho  0.750  0.750  0.750
Sc  0.250  0.250  0.250

Computed properties:
The calculation puts the electronic total energy at -0.193 Ha/atom. Its space group is F-43m. The size of the total moment comes out at 0.590 Bohr magnetons per cell.

Density functional theory data (PBE-GGA) for CeHoScSn after structural relaxation.

abc: 5.235 5.235 5.235
angles: 60.00 60.00 60.00
Fractional positions:
Ce  0.000  0.000  0.000
Ho  0.750  0.750  0.750
Sc  0.250  0.250  0.250
Sn  0.500  0.500  0.500

Computed properties:
The calculation puts the electronic total energy at -0.199 Ha/atom. Its space group is F-43m. The size of the total moment comes out at 1.639 Bohr magnetons per cell.

Density functional theory data (PBE-GGA) for Tb3Ce2Ho6Sc after structural relaxation.

abc: 6.072 6.072 11.624
angles: 94.99 94.99 119.99
Fractional positions:
Tb  0.000  0.000  0.000
Tb  0.334  0.666  0.000
Tb  0.666  0.334  0.000
Ce  0.166  0.834  0.500
Ce  0.834  0.166  0.500
Ho  0.085  0.418  0.254
Ho  0.250  0.250  0.747
Ho  0.418  0.085  0.254
Ho  0.582  0.915  0.746
Ho  0.750  0.750  0.253
Ho  0.915  0.582  0.746
Sc  0.500  0.500  0.500

Computed properties:
The calculation puts the electronic total energy at -0.181 Ha/atom. Its space group is C2/m. The size of the total moment comes out at 1.773 Bohr magnetons per cell.

Density functional theory data (PBE-GGA) for Tb2CeHo4Sc after structural relaxation.

abc: 4.946 4.946 9.897
angles: 90.00 90.00 90.00
Fractional positions:
Tb  0.000  0.000  0.000
Tb  0.500  0.500  0.000
Ce  0.000  0.000  0.500
Ho  0.000  0.500  0.256
Ho  0.000  0.500  0.744
Ho  0.500  0.000  0.256
Ho  0.500  0.000  0.744
Sc  0.500  0.500  0.500

Computed properties:
The calculation puts the electronic total energy at -0.181 Ha/atom. Its space group is P4/mmm. The size of the total moment comes out at 0.813 Bohr magnetons per cell.